# SrRe2TcB | the Alexandria database | PBE | relaxed
data_SrRe2TcB
_symmetry_space_group_name_H-M 'P 4/m m m'
_symmetry_Int_Tables_number 123
_symmetry_space_group_name_Hall '-P 4 2'
_cell_length_a 4.861
_cell_length_b 4.861
_cell_length_c 4.778
_cell_angle_alpha 90.00
_cell_angle_beta 90.00
_cell_angle_gamma 90.00
loop_
_atom_site_label
_atom_site_type_symbol
_atom_site_fract_x
_atom_site_fract_y
_atom_site_fract_z
Sr1 Sr 0.000 0.000 0.000
Re1 Re 0.000 0.500 0.000
Tc1 Tc 0.000 0.000 0.500
B1 B 0.500 0.500 0.500
# ΔH_f (0 K): 4.39 eV per atom
# total DFT energy (no corrections): -4.334 eV per atom
# volume: 113 Å³/cell
# DOS(E_F): 5.1 states/eV per cell